1.
This record from Alexandria via LeMat-Bulk describes a geometry-optimized KFe structure. The functional is PBE.

Lattice parameters (Å, degrees): 2.9276 2.9276 5.6003 90.00 90.00 90.00
Last column: magnetic moment on the atom in μB.
Fractional positions:
Fe 0.0000 0.0000 0.0000  2.84
K 0.5000 0.5000 0.5000  -0.06

The size of the total moment is 1.29 μB per atom. The value obtained for the energy relative to the lowest polymorph listed for this composition is 0.7111 eV/atom. For the final energy, the calculation gives -3.401 eV/atom. The formation energy is 1.3787 eV/atom. The value obtained for the density of states at the Fermi level is 5.48 states/eV per cell.

=====

2.
This record from Alexandria via LeMat-Bulk describes a geometry-optimized KFe structure. The functional is PBE.

Lattice parameters (Å, degrees): 3.9805 3.9805 3.9805 90.00 90.00 90.00
Last column: magnetic moment on the atom in μB.
Fractional positions:
Fe 0.0000 0.0000 0.0000  3.17
K 0.5000 0.5000 0.5000  -0.02

The size of the total moment is 1.56 μB per atom. The value obtained for the energy relative to the lowest polymorph listed for this composition is 0.8126 eV/atom. For the final energy, the calculation gives -3.300 eV/atom. The formation energy is 1.4803 eV/atom. The value obtained for the density of states at the Fermi level is 1.90 states/eV per cell.

=====

3.
This record from Alexandria via LeMat-Bulk describes a geometry-optimized KFe2 structure. The functional is PBE.

Lattice parameters (Å, degrees): 6.7527 6.7527 5.3228 90.00 90.00 120.00
Last column: magnetic moment on the atom in μB.
Fractional positions:
K 0.3333 0.6667 0.0000  -0.01
K 0.6667 0.3333 0.0000  -0.01
K 0.0000 0.0000 0.5000  -0.01
Fe 0.1969 0.0000 0.0000  2.71
Fe 0.0000 0.1969 0.0000  2.71
Fe 0.8031 0.8031 0.0000  2.71
Fe 0.4684 0.0000 0.5000  3.12
Fe 0.0000 0.4684 0.5000  3.12
Fe 0.5316 0.5316 0.5000  3.12

The size of the total moment is 1.93 μB per atom. For the final energy, the calculation gives -4.349 eV/atom. The formation energy is 1.6584 eV/atom. The value obtained for the density of states at the Fermi level is 16.70 states/eV per cell.